Entry from Alexandria via LeMat-Bulk: crystalline PmFe3Br12 at its relaxed geometry (PBE).

POSCAR file:
```
PmFe3Br12
1.0
7.6328 0.0000 0.0000
0.0000 11.7260 -6.7700
0.0000 0.0000 13.5400
Br Fe Pm
24 6 2
Cartesian
1.9082 2.5633 1.2051
5.7246 5.9662 3.3558
1.9082 5.7598 3.4143
5.7246 0.2381 2.8224
5.7246 11.6491 -0.0747
1.9082 0.0769 6.8447
5.7246 5.8368 -3.2810
7.5894 8.9559 1.9687
3.8599 8.9530 -1.9703
7.5894 8.9530 -1.9703
5.7246 9.1627 5.5650
0.0434 2.7730 8.7403
7.5894 5.5432 0.0016
1.9082 11.4880 3.9476
5.7246 2.3253 11.9227
3.7730 2.7702 4.8014
0.0434 6.1828 6.7684
3.7730 2.7730 8.7403
3.8599 8.9559 1.9687
3.7730 6.1828 6.7684
3.8599 5.5432 0.0016
1.9082 5.8893 10.0511
1.9082 9.4007 -5.1526
0.0434 2.7702 4.8014
5.7246 1.3164 4.8429
1.9082 10.4096 1.9272
1.9082 4.8522 1.2814
5.7246 6.8738 5.4886
5.7246 3.5359 9.9786
1.9082 8.1902 -3.2086
5.7246 7.8174 0.0000
1.9082 3.9087 6.7700
```



Entry from Alexandria via LeMat-Bulk: crystalline Pm3FeBr3 at its relaxed geometry (PBE).

POSCAR file:
```
Pm3FeBr3
1.0
4.1168 0.0000 0.0000
0.0000 8.7792 -0.4302
0.0000 0.0263 11.9095
Br Pm Fe
6 6 2
Cartesian
3.0876 5.2132 7.2589
3.0876 5.6946 1.3086
1.0292 7.6921 10.1867
1.0292 3.1109 10.1707
3.0876 1.1134 1.2927
1.0292 3.5923 4.2205
1.0292 2.6691 7.1807
1.0292 7.8046 1.6399
3.0876 1.0009 9.8394
1.0292 7.8070 6.9957
3.0876 0.9985 4.4837
3.0876 6.1363 4.2987
3.0876 0.8132 7.2457
1.0292 7.9923 4.2336
```



Entry from Alexandria via LeMat-Bulk: crystalline Pm2FeBr at its relaxed geometry (PBE).

POSCAR file:
```
Pm2FeBr
1.0
3.9131 0.0000 0.0000
1.9566 3.3889 0.0000
1.9566 1.1296 7.9794
Fe Br Pm
1 1 2
Cartesian
0.0000 0.0000 0.0000
3.9131 2.2592 3.9897
1.9566 1.1296 1.6042
5.8697 3.3889 6.3752
```

Values from the calculation:
E above lowest polymorph in meV/atom: 0



Entry from Alexandria via LeMat-Bulk: crystalline Pr7FeBr12 at its relaxed geometry (PBE).

POSCAR file:
```
Pr7FeBr12
1.0
-7.5367 7.8269 0.9440
3.4730 -0.6480 -8.9027
-3.4525 -8.6568 2.2087
Fe Pr Br
1 7 12
Cartesian
0.0000 0.0000 0.0000
-3.7683 3.9135 0.4720
-5.5102 -1.9103 -3.9410
-2.0060 0.4324 -1.8089
-8.1002 5.1526 0.8276
-9.2394 -1.0384 1.0604
1.7232 -0.4395 -6.8103
0.5840 -6.6306 -6.5775
-4.1997 1.0072 0.3561
-8.5801 1.9020 0.9069
-5.9931 4.4970 -1.3599
-2.9102 -2.4202 -1.9960
-0.2909 0.0933 -4.2682
-2.2285 3.6456 -6.2479
-7.2253 -1.5713 -1.4817
1.0639 -3.3800 -6.6568
-3.3165 -2.4851 -6.1061
-5.2877 -5.1236 0.4979
-4.6060 0.9423 -3.7539
-1.5231 -5.9750 -4.3900
```



Entry from Alexandria via LeMat-Bulk: crystalline PrFeBr at its relaxed geometry (PBE).

POSCAR file:
```
PrFeBr
1.0
-1.4363 -0.5737 3.7040
-0.2087 -3.7093 1.5195
10.3748 -0.2312 6.1622
Fe Br Pr
2 2 2
Cartesian
4.9520 -0.8252 3.9674
3.7778 -3.6890 7.4183
7.5599 -3.2747 8.9491
1.1698 -1.2395 2.4366
6.2683 -2.0486 6.4632
2.4614 -2.4656 4.9224
```



Entry from Alexandria via LeMat-Bulk: crystalline Pr2FeBr at its relaxed geometry (PBE).

POSCAR file:
```
Pr2FeBr
1.0
-2.5910 2.0768 2.2007
-3.5968 0.8861 -1.4654
-4.9939 -5.8879 3.2824
Pr Br Fe
2 1 1
Cartesian
-2.6518 -0.3944 0.8556
-8.5299 -2.5305 3.1621
-5.5909 -1.4625 2.0088
0.0000 0.0000 0.0000
```



The evaluated E_form (uncorrected) for the records listed, in turn: -0.76; -1.10; -0.48; -1.56; -0.85; -0.47 eV/atom.
The evaluated ρ for the records listed, in turn: 3.48; 5.64; 6.68; 4.48; 5.56; 6.25 g/cm3.